Record 1
Computed, not measured: a geometry-optimized ZnSb2Ru structure at the PBE level of DFT.

Computed properties:
- formation energy without anion corrections (eV/atom) = 0.28

Lattice parameters (Å, degrees): 7.4738 7.4738 7.4738 132.64 132.64 69.22
Fractional positions:
Zn  0.0000  0.0000  0.0000
Zn  0.7500  0.2500  0.5000
Sb  0.1496  0.6250  0.0246
Sb  0.3750  0.3996  0.5246
Sb  0.6004  0.1250  0.9754
Sb  0.8750  0.8504  0.4754
Ru  0.2500  0.7500  0.5000
Ru  0.5000  0.5000  0.0000


Record 2
Computed, not measured: a geometry-optimized Li2CaTa structure at the PBE level of DFT.

Computed properties:
- energy above the lowest structure with this stoichiometry (meV per atom) = 148.7
- DFT formation energy (eV/atom) = 0.60

Lattice parameters (Å, degrees): 2.8300 4.5675 6.5556 90.00 90.00 90.00
Fractional positions:
Li  0.0000  0.0000  0.2040
Li  0.0000  0.0000  0.7960
Ca  0.5000  0.5000  0.5000
Ta  0.5000  0.5000  0.0000


Record 3
Computed, not measured: a geometry-optimized AlTl3Ir structure at the PBE level of DFT.

Computed properties:
- energy above the lowest structure with this stoichiometry (meV per atom) = 718.7
- DFT formation energy (eV/atom) = 1.13

Lattice parameters (Å, degrees): 5.2345 5.2345 5.2345 90.00 90.00 90.00
Fractional positions:
Al  0.0000  0.0000  0.0000
Tl  0.0000  0.0000  0.5000
Tl  0.0000  0.5000  0.0000
Tl  0.5000  0.0000  0.0000
Ir  0.5000  0.5000  0.5000


Number 1: D(E_F) 0.5381 states/eV per atom. Number 2: D(E_F) 0.8444 states/eV per atom. Number 3: D(E_F) 1.6965 states/eV per atom.